The following is a PBE calculation of a geometry-optimized La5CeN6 structure, from Alexandria.

Properties
Formation energy without anion corrections in meV/atom: -1365
SG: C2/m
Electronic total energy in eV per atom: -8.075

Geometry as POSCAR:
```
La5CeN6
1.0
6.354 0.155 0.966
1.561 5.393 3.144
0.106 0.057 6.434
N La Ce
6 5 1
direct
0.761 0.393 0.686
0.239 0.607 0.314
0.761 0.080 0.314
0.239 0.920 0.686
0.244 0.235 0.000
0.756 0.765 0.000
0.000 0.667 0.666
0.500 0.164 0.671
0.500 0.836 0.329
0.000 0.333 0.334
0.500 0.500 0.000
0.000 0.000 0.000
```